5
Lattice="-0.244 2.534 3.762 -4.179 -1.590 0.801 1.764 -3.418 2.417" Properties=species:S:1:pos:R:3 comment="Zr3BIr PBE optimized geometry" dft_energy_ev_per_atom=-8.433 spacegroup="No. 221" pbc="T T T"
Zr -2.089 -0.795 0.400
Zr -0.122 1.267 1.881
Zr 0.882 -1.709 1.209
Ir -1.329 -1.237 3.490
B 0.000 0.000 0.000

***

5
Lattice="-1.095 2.927 2.291 -3.063 -2.064 1.172 0.316 -1.252 5.027" Properties=species:S:1:pos:R:3 comment="ZrB2Ir2 PBE optimized geometry" dft_energy_ev_per_atom=-8.333 spacegroup="No. 139" pbc="T T T"
Ir -1.386 -0.056 2.686
Ir -2.457 -0.333 5.804
B -2.413 -1.442 3.965
B -1.429 1.053 4.525
Zr 0.000 0.000 0.000

***

9
Lattice="-1.764 3.089 4.524 -3.553 -2.342 3.874 1.923 -1.265 5.274" Properties=species:S:1:pos:R:3 comment="Zr2BIr6 PBE optimized geometry" dft_energy_ev_per_atom=-9.348 spacegroup="No. 225" pbc="T T T"
Zr -2.545 -0.389 10.253
Zr -0.848 -0.130 3.418
Ir -1.729 1.359 5.718
Ir -2.594 -1.266 5.404
Ir -1.664 -1.878 7.953
Ir 0.053 -0.746 6.081
Ir -3.447 0.227 7.591
Ir -0.799 0.748 8.268
B 0.000 0.000 0.000

***

24
Lattice="5.799 0.132 2.500 3.871 6.847 -0.476 -0.067 -1.907 7.350" Properties=species:S:1:pos:R:3 comment="KB11 PBE optimized geometry" dft_energy_ev_per_atom=-5.815 spacegroup="No. 8" pbc="T T T"
B 4.618 -0.764 5.531
B 4.482 6.834 -0.183
B 4.601 3.765 5.854
B 5.286 1.172 7.856
B 6.170 3.078 3.429
B 6.398 1.513 9.089
B 5.833 -0.147 6.657
B 5.227 -0.242 3.969
B 6.882 5.624 4.793
B 0.830 -0.008 5.672
B 5.586 1.391 3.694
B 2.046 3.171 0.181
B 1.562 -0.939 4.478
B 1.151 1.644 0.100
B 4.989 2.562 4.743
B 5.477 5.326 5.830
B 5.685 4.248 4.493
B 3.600 1.692 7.765
B 3.730 3.365 7.251
B 8.702 4.954 3.807
B 5.146 0.893 5.324
B 4.646 2.099 6.421
K 3.682 -1.394 8.495
K 2.078 2.200 3.814

***

16
Lattice="-2.333 -1.055 5.354 -0.290 -6.840 2.731 5.133 -0.271 0.555" Properties=species:S:1:pos:R:3 comment="KB7 PBE optimized geometry" dft_energy_ev_per_atom=-5.697 spacegroup="No. 2" pbc="T T T"
B 0.299 -2.867 2.604
B -0.863 -4.012 3.312
B 0.518 -4.644 6.274
B 1.626 -2.711 4.018
B 3.373 -4.153 5.329
B 2.210 -5.299 6.036
B 1.183 -6.707 5.502
B 0.884 -5.455 4.622
B 1.327 -1.459 3.138
B 1.596 -3.929 5.129
B 1.992 -3.522 2.366
B -1.251 -4.028 6.330
B 0.914 -4.237 3.511
B 3.761 -4.138 2.310
K 3.979 -0.622 1.587
K -1.469 -7.544 7.053

***

14
Lattice="5.133 0.000 2.964 1.711 4.840 2.964 0.000 0.000 5.927" Properties=species:S:1:pos:R:3 comment="KLaB12 PBE optimized geometry" dft_energy_ev_per_atom=-6.520 spacegroup="No. 225" pbc="T T T"
La 3.422 2.420 5.927
B 4.115 2.910 8.891
B 5.642 2.910 9.773
B 6.151 4.350 8.891
B 5.642 2.910 8.009
B 1.202 1.930 2.082
B 2.220 0.490 2.082
B 4.624 4.350 8.009
B 1.202 1.930 3.846
B 4.624 4.350 9.773
B 0.693 0.490 2.964
B 2.729 1.930 2.964
B 2.220 0.490 3.846
K 0.000 0.000 0.000

***

5
Lattice="5.394 0.000 0.000 0.000 5.394 0.000 0.000 0.000 5.394" Properties=species:S:1:pos:R:3 comment="KLa3B PBE optimized geometry" dft_energy_ev_per_atom=-2.673 spacegroup="No. 221" pbc="T T T"
K 0.000 0.000 0.000
La 2.697 0.000 0.000
La 0.000 0.000 2.697
La 0.000 2.697 0.000
B 2.697 2.697 2.697

***

7
Lattice="-2.332 -2.501 -3.693 -3.108 -2.078 3.370 -7.801 3.813 -1.085" Properties=species:S:1:pos:R:3 comment="K2LaB4 PBE optimized geometry" dft_energy_ev_per_atom=-2.918 spacegroup="No. 139" pbc="T T T"
B -1.554 -1.039 1.685
B -6.997 -2.709 -0.606
B -1.166 -1.250 -1.846
B -6.244 1.943 -0.802
La 0.000 0.000 0.000
K -4.177 -0.539 -0.426
K -9.063 -0.227 -0.982

***

5
Lattice="5.399 0.000 0.000 0.000 5.399 0.000 2.699 2.699 4.074" Properties=species:S:1:pos:R:3 comment="KLa2B2 PBE optimized geometry" dft_energy_ev_per_atom=-4.293 spacegroup="No. 139" pbc="T T T"
La 5.399 2.699 2.037
La 2.699 5.399 2.037
B 2.699 2.699 0.802
B 5.399 5.399 3.272
K 0.000 0.000 0.000

***

5
Lattice="-4.226 3.502 -1.113 -2.534 -1.549 4.748 2.661 4.087 2.753" Properties=species:S:1:pos:R:3 comment="KLa3B PBE optimized geometry" dft_energy_ev_per_atom=-4.195 spacegroup="No. 221" pbc="T T T"
B 0.000 0.000 0.000
La -1.267 -0.774 2.374
La 1.331 2.043 1.377
La -2.113 1.751 -0.557
K -2.050 3.020 3.194

***

4
Lattice="0.000 3.447 3.447 3.447 0.000 3.447 3.447 3.447 0.000" Properties=species:S:1:pos:R:3 comment="KLaB2 PBE optimized geometry" dft_energy_ev_per_atom=-3.713 spacegroup="No. 225" pbc="T T T"
B 1.724 1.724 1.724
B 5.171 5.171 5.171
La 3.447 3.447 3.447
K 0.000 0.000 0.000